VASP calculation (PBE) on an optimized crystal structure of Cs3CdO.

The uncorrected formation energy comes out at -575 meV per atom. Its energy above the most stable polymorph in this dataset is 0 meV per atom. Its raw total energy is -0.0831 hartree per atom.

It has space group Cm (No. 8), with a = 17.2040 Å, b = 5.9231 Å, c = 12.3198 Å, α = 90.00°, β = 124.87° and γ = 90.00°. Symmetry generates all atoms from Cs at (0.0000, 0.0000, 0.0000), Cs at (0.0018, 0.5000, 0.7260), Cs at (0.0129, 0.0000, 0.4386), Cs at (0.0194, 0.5000, 0.2141), Cs at (0.2041, 0.5000, 0.1222), Cs at (0.3098, 0.0000, 0.7943), Cd at (0.2253, 0.0000, 0.4017), Cd at (0.2935, 0.5000, 0.5290), O at (0.0089, 0.5000, 0.9583) and O at (0.0701, 0.0000, 0.2766).